No. 1
! V6GaRu2, relaxed, DFT GGA-PBE; values from VASP
! Symmetry: No. 166
! Raw total energy in eV/atom: -8.469
! M_tot in μB/f.u.: 0.00
! V in Å³ per cell: 131.1
&SYSTEM
  ibrav = 0, nat = 9, ntyp = 3
/
ATOMIC_SPECIES
V 50.94 V.upf
Ga 69.72 Ga.upf
Ru 101.07 Ru.upf
ATOMIC_POSITIONS angstrom
V 0.000 0.000 2.558
V 0.000 0.000 5.133
V 0.000 0.000 7.652
V 0.000 0.000 17.718
V 0.000 0.000 20.236
V 0.000 0.000 22.812
Ga 0.000 0.000 12.685
Ru 0.000 0.000 10.063
Ru 0.000 0.000 15.307
CELL_PARAMETERS angstrom
2.116 1.222 8.457
-2.116 1.222 8.457
0.000 -2.443 8.457

---

No. 2
! Li2CoNi, relaxed, DFT GGA-PBE; values from VASP
! Symmetry: No. 12
! Raw total energy in eV/atom: -4.112
! M_tot in μB/f.u.: 1.47
! V in Å³ per cell: 46.0
&SYSTEM
  ibrav = 0, nat = 4, ntyp = 3
/
ATOMIC_SPECIES
Li 6.94 Li.upf
Co 58.93 Co.upf
Ni 58.69 Ni.upf
ATOMIC_POSITIONS angstrom
Li 1.986 0.000 1.060
Li 6.026 0.000 3.204
Co -0.350 0.000 2.132
Ni 4.355 0.000 0.000
CELL_PARAMETERS angstrom
4.355 -1.238 0.000
4.355 1.238 0.000
-0.699 0.000 4.264

---

No. 3
! Dy2VMoN5, relaxed, DFT GGA-PBE; values from VASP
! Symmetry: No. 36
! Raw formation energy in eV per atom: -1.0828
! M_tot in μB/f.u.: 0.00
! V in Å³ per cell: 211.3
&SYSTEM
  ibrav = 0, nat = 18, ntyp = 4
/
ATOMIC_SPECIES
Dy 162.50 Dy.upf
V 50.94 V.upf
Mo 95.94 Mo.upf
N 14.01 N.upf
ATOMIC_POSITIONS angstrom
Dy 1.617 5.096 5.049
Dy 1.617 4.596 0.992
Dy 1.617 -4.596 6.041
Dy 1.617 -5.096 0.000
V 1.617 0.371 2.685
V 1.617 -0.371 7.734
Mo 1.617 3.610 8.266
Mo 1.617 -3.610 3.217
N 1.617 5.846 8.633
N 1.617 2.828 4.587
N 1.617 2.334 1.842
N 1.617 1.680 8.157
N 1.617 0.134 5.979
N 1.617 -0.134 0.930
N 1.617 -1.680 3.109
N 1.617 -2.334 6.891
N 1.617 -2.828 9.636
N 1.617 -5.846 3.584
CELL_PARAMETERS angstrom
1.617 -6.471 0.000
1.617 6.471 0.000
0.000 0.000 10.098

---

No. 4
! Rb2CoHgCl6, relaxed, DFT GGA-PBE; values from VASP
! Symmetry: No. 139
! Raw formation energy in eV per atom: -1.0273
! M_tot in μB/f.u.: 0.00
! V in Å³ per cell: 259.8
&SYSTEM
  ibrav = 0, nat = 10, ntyp = 4
/
ATOMIC_SPECIES
Rb 85.47 Rb.upf
Co 58.93 Co.upf
Hg 200.59 Hg.upf
Cl 35.45 Cl.upf
ATOMIC_POSITIONS angstrom
Rb 3.779 0.000 2.273
Rb 0.000 3.779 2.273
Co 0.000 0.000 0.000
Hg 0.000 0.000 4.547
Cl 1.635 1.635 0.000
Cl 2.144 -2.144 4.547
Cl 0.000 0.000 2.206
Cl 0.000 0.000 6.888
Cl -2.144 2.144 4.547
Cl 2.144 2.144 4.547
CELL_PARAMETERS angstrom
-3.779 3.779 4.547
3.779 -3.779 4.547
3.779 3.779 -4.547

---

No. 5
! Tm2GaFe, relaxed, DFT GGA-PBE; values from VASP
! Symmetry: No. 123
! Raw total energy in eV/atom: -5.374
! M_tot in μB/f.u.: 0.00
! V in Å³ per cell: 79.0
&SYSTEM
  ibrav = 0, nat = 4, ntyp = 3
/
ATOMIC_SPECIES
Tm 168.93 Tm.upf
Ga 69.72 Ga.upf
Fe 55.84 Fe.upf
ATOMIC_POSITIONS angstrom
Tm 0.000 0.000 1.574
Tm 0.000 0.000 5.336
Ga 1.691 1.691 3.455
Fe 1.691 1.691 0.000
CELL_PARAMETERS angstrom
3.382 0.000 0.000
0.000 3.382 0.000
0.000 0.000 6.910

---

No. 6
! La3Sm8Tl, relaxed, DFT GGA-PBE; values from VASP
! Symmetry: No. 121
! Raw total energy in eV/atom: -4.144
! M_tot in μB/f.u.: 0.00
! V in Å³ per cell: 440.3
&SYSTEM
  ibrav = 0, nat = 12, ntyp = 3
/
ATOMIC_SPECIES
La 138.91 La.upf
Sm 150.36 Sm.upf
Tl 204.38 Tl.upf
ATOMIC_POSITIONS angstrom
La 0.000 0.000 0.000
La 4.373 0.000 2.878
La 0.000 4.373 2.878
Sm 1.094 -1.094 2.847
Sm 2.217 -2.217 5.600
Sm 2.156 2.156 0.155
Sm -1.094 1.094 2.847
Sm 3.279 3.279 2.908
Sm -2.217 2.217 5.600
Sm 2.217 2.217 5.911
Sm 1.094 1.094 8.663
Tl 0.000 0.000 5.755
CELL_PARAMETERS angstrom
-4.373 4.373 5.755
4.373 -4.373 5.755
4.373 4.373 -5.755

---

No. 7
! CeNdSi, relaxed, DFT GGA-PBE; values from VASP
! Symmetry: No. 129
! Raw formation energy in eV per atom: -0.5239
! M_tot in μB/f.u.: 0.75
! V in Å³ per cell: 155.5
&SYSTEM
  ibrav = 0, nat = 6, ntyp = 3
/
ATOMIC_SPECIES
Ce 140.12 Ce.upf
Nd 144.24 Nd.upf
Si 28.09 Si.upf
ATOMIC_POSITIONS angstrom
Ce 1.071 3.212 0.000
Ce 3.212 1.071 0.000
Nd 1.071 1.071 3.093
Nd 3.212 3.212 5.387
Si 1.071 1.071 6.245
Si 3.212 3.212 2.235
CELL_PARAMETERS angstrom
4.283 0.000 0.000
0.000 4.283 0.000
0.000 0.000 8.480

---

No. 8
! AlGaPd5, relaxed, DFT GGA-PBE; values from VASP
! Symmetry: No. 123
! Raw total energy in eV/atom: -5.205
! M_tot in μB/f.u.: 0.00
! V in Å³ per cell: 110.5
&SYSTEM
  ibrav = 0, nat = 7, ntyp = 3
/
ATOMIC_SPECIES
Al 26.98 Al.upf
Ga 69.72 Ga.upf
Pd 106.42 Pd.upf
ATOMIC_POSITIONS angstrom
Al 0.000 0.000 0.000
Ga 2.060 2.060 3.253
Pd 0.000 0.000 3.253
Pd 0.000 2.060 1.453
Pd 0.000 2.060 5.053
Pd 2.060 0.000 1.453
Pd 2.060 0.000 5.053
CELL_PARAMETERS angstrom
4.121 0.000 0.000
0.000 4.121 0.000
0.000 0.000 6.506